Computed, not measured: CsPdSe2 after structural relaxation at the PBE-GGA level of DFT.

```
8
Lattice="6.882 0.000 0.000 0.000 9.323 0.000 0.000 0.000 3.828" Properties=species:S:1:pos:R:3 pbc="T T T"
Cs 0.000 0.000 0.000
Cs 3.441 4.662 0.000
Pd 0.000 4.662 0.000
Pd 3.441 0.000 0.000
Se 0.000 3.081 1.914
Se 0.000 6.242 1.914
Se 3.441 1.580 1.914
Se 3.441 7.743 1.914
```

Calculated values
Total energy = -0.282 Ry/atom
Space group = Cmmm (65)